No. 1
A plane-wave DFT calculation with PBE-GGA was carried out for an optimized crystal structure of NbOs3O.

Output
Relative energy among the computed polymorphs: 2432.6 meV/atom

Cell lengths 4.812, 4.812, 4.812 Å; angles 90.00, 90.00, 90.00 degrees
Space group Pm-3m (No. 221)
Unique sites:
1 Nb 0.000 0.000 0.000 [1 per cell]
2 Os 0.000 0.000 0.500 [3 per cell]
3 O 0.500 0.500 0.500 [1 per cell]

=====

No. 2
A plane-wave DFT calculation with PBE-GGA was carried out for an optimized crystal structure of NbOsO2.

Output
Relative energy among the computed polymorphs: 739.6 meV/atom

Cell lengths 3.3703, 3.3703, 16.0720 Å; angles 90.00, 90.00, 120.00 degrees
Space group R-3m (No. 166, hexagonal axes)
Unique sites:
1 Nb 0.0000 0.0000 0.0000 [3 per cell]
2 Os 0.0000 0.0000 0.5000 [3 per cell]
3 O 0.0000 0.0000 0.1254 [6 per cell]

=====

No. 3
A plane-wave DFT calculation with PBE-GGA was carried out for an optimized crystal structure of NbOsO5.

Cell lengths 3.699, 6.482, 7.713 Å; angles 90.00, 90.00, 90.00 degrees
Space group Immm (No. 71)
Unique sites:
1 Nb 0.000 0.000 0.000 [2 per cell]
2 Os 0.000 0.000 0.500 [2 per cell]
3 O 0.000 0.000 0.265 [4 per cell]
4 O 0.000 0.320 0.000 [4 per cell]
5 O 0.000 0.500 0.500 [2 per cell]

=====

no.,total magnetic moment (μB per formula unit),uncorrected formation energy (eV/atom)
1,6.00,2.92
2,0.00,-0.43
3,0.00,-1.49